LiAcAgGe | GGA-PBE | relaxed

Values from the calculation:
Its space-group type is No. 216. As for the formation energy: -1.33 eV per formula unit. The calculation puts the electronic total energy at -3.704 eV/atom. The calculation puts the density of states at the Fermi level at 0.587 states/eV/atom.

Geometry as POSCAR:
```
LiAcAgGe
1.0
0.000 3.682 3.682
3.682 0.000 3.682
3.682 3.682 0.000
Li Ac Ag Ge
1 1 1 1
Cartesian
0.000 0.000 0.000 Li
3.682 3.682 3.682 Ac
5.523 5.523 5.523 Ag
1.841 1.841 1.841 Ge
```